This record from OQMD describes an optimized crystal structure of TmIn2O4. The functional is PBE-GGA.

abc: 6.615 6.615 6.615
angles: 60.00 60.00 60.00
Atoms (fractional coordinates):
1 Tm 0.125 0.125 0.125
2 Tm 0.875 0.875 0.875
3 In 0.000 0.500 0.500
4 In 0.500 0.000 0.500
5 In 0.500 0.500 0.000
6 In 0.500 0.500 0.500
7 O 0.257 0.257 0.257
8 O 0.257 0.257 0.730
9 O 0.257 0.730 0.257
10 O 0.270 0.743 0.743
11 O 0.730 0.257 0.257
12 O 0.743 0.270 0.743
13 O 0.743 0.743 0.270
14 O 0.743 0.743 0.743


This record from OQMD describes an optimized crystal structure of Li4Pm2O5. The functional is PBE-GGA.

abc: 7.298 7.298 4.614
angles: 90.00 90.00 142.83
Atoms (fractional coordinates):
1 Li 0.000 0.000 0.000
2 Li 0.188 0.812 0.500
3 Li 0.500 0.500 0.500
4 Li 0.812 0.188 0.500
5 Pm 0.341 0.659 0.000
6 Pm 0.659 0.341 0.000
7 O 0.160 0.840 0.000
8 O 0.340 0.660 0.500
9 O 0.500 0.500 0.000
10 O 0.660 0.340 0.500
11 O 0.840 0.160 0.000


no.,VASP energy (hartree per atom)
1,-0.2303
2,-0.2287